# PBE CeNdEr, optimized geometry
data_CeNdEr
_chemical_formula_sum 'Ce2 Nd2 Er2'
_space_group_name_H-M_alt 'I 4 m m'
_space_group_IT_number 107
_space_group_name_Hall 'I 4 -2'
_cell_length_a 3.552
_cell_length_b 3.552
_cell_length_c 14.948
_cell_angle_alpha 90.00
_cell_angle_beta 90.00
_cell_angle_gamma 90.00
loop_
_atom_site_label
_atom_site_type_symbol
_atom_site_fract_x
_atom_site_fract_y
_atom_site_fract_z
_atom_site_occupancy
Ce1 Ce 0.000 0.000 0.000 1
Nd1 Nd 0.000 0.000 0.664 1
Er1 Er 0.000 0.000 0.343 1
# Fermi-level density of states (states/eV per atom): 2.073
# Total DFT energy (no corrections) (eV per cell): -30.06
# Energy relative to the elements (eV/atom): 0.078
# Offset from the most stable computed form (meV per atom): 3
# Magnetic moment (μB per formula unit): 0.238